DFT (PBE-GGA) results for a geometry-optimized Zn structure.

Properties
The calculation puts the total magnetic moment at 0.0000 μB per atom. The value obtained for the excess energy over the best structure of this formula in the dataset is 476 meV per atom. For the final energy, the calculation gives -0.798 eV per atom. The density of states at the Fermi level comes out at 5.564 states/eV per cell. Its formation enthalpy at 0 K is 0.4763 eV/atom.

a = 5.826 Å, b = 5.826 Å, c = 5.826 Å
α = 90.00°, β = 90.00°, γ = 90.00°
Atoms (fractional coordinates):
Zn: 0.125 0.125 0.125
Zn: 0.125 0.625 0.625
Zn: 0.375 0.375 0.875
Zn: 0.375 0.875 0.375
Zn: 0.625 0.125 0.625
Zn: 0.625 0.625 0.125
Zn: 0.875 0.375 0.375
Zn: 0.875 0.875 0.875